The following is a PBE-GGA calculation of an optimized crystal structure of Tl2SiCl, from the Alexandria database.

Results
- Energy above the lowest structure with this stoichiometry: 169.6 meV per atom
- Uncorrected formation energy: 0.105 eV/atom

a b c (Å): 3.6382 3.6382 9.0445
angles (deg): 90.00 90.00 90.00
Atoms (fractional coordinates):
Tl (0.0000, 0.0000, 0.0000)
Tl (0.5000, 0.5000, 0.3426)
Si (0.5000, 0.5000, 0.8447)
Cl (0.0000, 0.0000, 0.5178)

=====

The following is a PBE-GGA calculation of an optimized crystal structure of TlSiCl2, from the Alexandria database.

Results
- Energy above the lowest structure with this stoichiometry: 104.8 meV per atom
- Uncorrected formation energy: -0.262 eV/atom

a b c (Å): 9.6176 9.6176 9.6176
angles (deg): 21.78 21.78 21.78
Atoms (fractional coordinates):
Tl (0.0000, 0.0000, 0.0000)
Si (0.5000, 0.5000, 0.5000)
Cl (0.4157, 0.4157, 0.4157)
Cl (0.5843, 0.5843, 0.5843)

=====

The following is a PBE-GGA calculation of an optimized crystal structure of Tl2SiCl, from the Alexandria database.

Results
- Energy above the lowest structure with this stoichiometry: 84.8 meV per atom
- Uncorrected formation energy: 0.020 eV/atom

a b c (Å): 4.3143 4.3143 7.2766
angles (deg): 98.07 98.07 60.73
Atoms (fractional coordinates):
Tl (0.1984, 0.1984, 0.1951)
Tl (0.8016, 0.8016, 0.8049)
Si (0.5000, 0.5000, 0.0000)
Cl (0.0000, 0.0000, 0.5000)

=====

The following is a PBE-GGA calculation of an optimized crystal structure of Tl2SiCl, from the Alexandria database.

Results
- Energy above the lowest structure with this stoichiometry: 182.4 meV per atom
- Uncorrected formation energy: 0.117 eV/atom

a b c (Å): 5.2373 5.2373 5.2373
angles (deg): 60.00 60.00 60.00
Atoms (fractional coordinates):
Tl (0.2500, 0.2500, 0.2500)
Tl (0.7500, 0.7500, 0.7500)
Si (0.0000, 0.0000, 0.0000)
Cl (0.5000, 0.5000, 0.5000)

=====

The following is a PBE-GGA calculation of an optimized crystal structure of TlSi2Cl, from the Alexandria database.

Results
- Energy above the lowest structure with this stoichiometry: 259.5 meV per atom
- Uncorrected formation energy: 0.153 eV/atom

a b c (Å): 5.8397 5.8397 6.2399
angles (deg): 113.82 113.82 37.83
Atoms (fractional coordinates):
Tl (0.0000, 0.0000, 0.0000)
Si (0.3079, 0.3079, 0.6081)
Si (0.6921, 0.6921, 0.3919)
Cl (0.5000, 0.5000, 0.5000)

=====

The following is a PBE-GGA calculation of an optimized crystal structure of TlSiCl, from the Alexandria database.

Results
- Energy above the lowest structure with this stoichiometry: 690.6 meV per atom
- Uncorrected formation energy: 0.620 eV/atom

a b c (Å): 5.0714 5.0714 5.0714
angles (deg): 60.00 60.00 60.00
Atoms (fractional coordinates):
Tl (0.0000, 0.0000, 0.0000)
Si (0.5000, 0.5000, 0.5000)
Cl (0.7500, 0.7500, 0.7500)

=====

The following is a PBE-GGA calculation of an optimized crystal structure of TlSi2Cl, from the Alexandria database.

Results
- Energy above the lowest structure with this stoichiometry: 501.1 meV per atom
- Uncorrected formation energy: 0.395 eV/atom

a b c (Å): 6.4828 6.4592 3.9958
angles (deg): 72.34 71.70 35.97
Atoms (fractional coordinates):
Tl (0.0000, 0.0000, 0.0000)
Si (0.0000, 0.5000, 0.5000)
Si (0.5000, 0.0000, 0.0000)
Cl (0.5000, 0.5000, 0.5000)

=====

The following is a PBE-GGA calculation of an optimized crystal structure of TlSi2Cl8, from the Alexandria database.

Results
- Uncorrected formation energy: -0.986 eV/atom

a b c (Å): 7.6394 7.6394 8.4539
angles (deg): 109.04 109.04 56.24
Atoms (fractional coordinates):
Tl (0.0000, 0.0000, 0.0000)
Si (0.2028, 0.2028, 0.6902)
Si (0.7972, 0.7972, 0.3098)
Cl (0.0930, 0.6307, 0.2363)
Cl (0.1584, 0.1584, 0.4244)
Cl (0.3681, 0.3681, 0.8238)
Cl (0.3693, 0.9070, 0.7637)
Cl (0.6307, 0.0930, 0.2363)
Cl (0.6319, 0.6319, 0.1762)
Cl (0.8416, 0.8416, 0.5756)
Cl (0.9070, 0.3693, 0.7637)

=====

The following is a PBE-GGA calculation of an optimized crystal structure of TlSiCl2, from the Alexandria database.

Results
- Energy above the lowest structure with this stoichiometry: 136.8 meV per atom
- Uncorrected formation energy: -0.230 eV/atom

a b c (Å): 9.5209 9.5209 9.5209
angles (deg): 22.87 22.87 22.87
Atoms (fractional coordinates):
Tl (0.0000, 0.0000, 0.0000)
Si (0.5000, 0.5000, 0.5000)
Cl (0.2209, 0.2209, 0.2209)
Cl (0.7791, 0.7791, 0.7791)

=====

The following is a PBE-GGA calculation of an optimized crystal structure of TlSi2Cl2, from the Alexandria database.

Results
- Energy above the lowest structure with this stoichiometry: 94.6 meV per atom
- Uncorrected formation energy: 0.232 eV/atom

a b c (Å): 6.4442 6.4442 6.4442
angles (deg): 138.43 138.43 60.24
Atoms (fractional coordinates):
Tl (0.0000, 0.0000, 0.0000)
Si (0.3954, 0.3954, 0.0000)
Si (0.6046, 0.6046, 0.0000)
Cl (0.2500, 0.7500, 0.5000)
Cl (0.7500, 0.2500, 0.5000)

=====

The following is a PBE-GGA calculation of an optimized crystal structure of Tl2SiCl, from the Alexandria database.

Results
- Energy above the lowest structure with this stoichiometry: 113.1 meV per atom
- Uncorrected formation energy: 0.048 eV/atom

a b c (Å): 3.4283 3.4840 8.6473
angles (deg): 90.00 90.00 90.00
Atoms (fractional coordinates):
Tl (0.0000, 0.0000, 0.2492)
Tl (0.0000, 0.0000, 0.7508)
Si (0.5000, 0.5000, 0.0000)
Cl (0.5000, 0.5000, 0.5000)

=====

The following is a PBE-GGA calculation of an optimized crystal structure of TlSiCl2, from the Alexandria database.

Results
- Energy above the lowest structure with this stoichiometry: 65.9 meV per atom
- Uncorrected formation energy: -0.301 eV/atom

a b c (Å): 3.4131 4.3482 7.8253
angles (deg): 90.00 90.00 90.00
Atoms (fractional coordinates):
Tl (0.0000, 0.0000, 0.0000)
Si (0.5000, 0.5000, 0.5883)
Cl (0.0000, 0.0000, 0.5981)
Cl (0.5000, 0.5000, 0.3132)

=====

The following is a PBE-GGA calculation of an optimized crystal structure of TlSiCl, from the Alexandria database.

Results
- Energy above the lowest structure with this stoichiometry: 304.7 meV per atom
- Uncorrected formation energy: 0.234 eV/atom

a b c (Å): 5.0328 5.0328 3.2194
angles (deg): 90.00 90.00 120.00
Atoms (fractional coordinates):
Tl (0.0000, 0.0000, 0.0000)
Si (0.3333, 0.6667, 0.5000)
Cl (0.6667, 0.3333, 0.5000)

=====

The following is a PBE-GGA calculation of an optimized crystal structure of Tl2SiCl, from the Alexandria database.

Results
- Energy above the lowest structure with this stoichiometry: 25.7 meV per atom
- Uncorrected formation energy: -0.039 eV/atom

a b c (Å): 5.3557 5.9571 5.9571
angles (deg): 33.16 90.00 90.00
Atoms (fractional coordinates):
Tl (0.0000, 0.0000, 0.0000)
Tl (0.5000, 0.2485, 0.2485)
Si (0.5000, 0.5133, 0.5133)
Cl (0.0000, 0.7426, 0.7426)

=====

The following is a PBE-GGA calculation of an optimized crystal structure of Tl2SiCl, from the Alexandria database.

Results
- Energy above the lowest structure with this stoichiometry: 0.0 meV per atom
- Uncorrected formation energy: -0.065 eV/atom

a b c (Å): 4.2690 4.2690 6.0447
angles (deg): 90.00 90.00 90.00
Atoms (fractional coordinates):
Tl (0.0000, 0.0000, 0.0000)
Tl (0.5000, 0.5000, 0.5000)
Si (0.0000, 0.0000, 0.5000)
Cl (0.5000, 0.5000, 0.0000)